# 1
A geometry-optimized Cs4Ac3ScO8 structure, computed with PBE-GGA.

Results
Space group: No. 166
ρ: 6.7 Mg/m³
E: -6.31 eV per atom
Formation energy from raw total energies: -2.45 eV per atom

Cell lengths 7.5513, 8.2169, 7.5517 Å; angles 117.36, 120.00, 90.00 degrees
Positions (direct):
Cs (0.5000, 0.0000, 0.0000)
Cs (0.5000, 0.0000, 0.5000)
Cs (0.0000, 0.0000, 0.0000)
Cs (0.0000, 0.0000, 0.5000)
Ac (0.5000, 0.5000, 0.0000)
Ac (0.5000, 0.5000, 0.5000)
Ac (0.0000, 0.5000, 0.5000)
Sc (0.0000, 0.5000, 0.0000)
O (0.2072, 0.6663, 0.9591)
O (0.2074, 0.6664, 0.4148)
O (0.2742, 0.3224, 0.5483)
O (0.7519, 0.6663, 0.9591)
O (0.2481, 0.3337, 0.0409)
O (0.7258, 0.6776, 0.4517)
O (0.7926, 0.3336, 0.5852)
O (0.7928, 0.3337, 0.0409)

***

# 2
A geometry-optimized Cs2AcScO4 structure, computed with PBE-GGA.

Results
Space group: No. 74
ρ: 6.5 Mg/m³
E: -6.34 eV per atom
Formation energy from raw total energies: -2.34 eV per atom

Cell lengths 7.5637, 7.5637, 7.9038 Å; angles 121.49, 121.49, 89.25 degrees
Positions (direct):
Cs (0.5000, 0.0000, 0.0000)
Cs (0.5000, 0.0000, 0.5000)
Cs (0.0000, 0.0000, 0.5000)
Cs (0.5000, 0.5000, 0.0000)
Ac (0.0000, 0.5000, 0.0000)
Ac (0.0000, 0.5000, 0.5000)
Sc (0.5000, 0.5000, 0.5000)
Sc (0.0000, 0.0000, 0.0000)
O (0.1685, 0.7569, 0.9625)
O (0.7431, 0.3315, 0.5375)
O (0.2569, 0.6685, 0.4625)
O (0.8315, 0.2431, 0.0375)
O (0.7653, 0.7359, 0.9352)
O (0.7641, 0.7347, 0.5648)
O (0.2359, 0.2653, 0.4352)
O (0.2347, 0.2641, 0.0648)

***

# 3
A geometry-optimized CsAcSeO structure, computed with PBE-GGA.

Results
Space group: No. 160
ρ: 6.2 Mg/m³
E: -5.43 eV per atom
Formation energy from raw total energies: -2.08 eV per atom

Cell lengths 4.2015, 4.2015, 8.3299 Å; angles 75.39, 75.39, 60.00 degrees
Positions (direct):
Cs (0.7491, 0.7491, 0.7526)
Ac (0.2654, 0.2654, 0.2038)
Se (0.5162, 0.5162, 0.4515)
O (0.9693, 0.9693, 0.0922)

***

# 4
A geometry-optimized CsAcSe3O6 structure, computed with PBE-GGA.

Results
Space group: No. 146
ρ: 4.7 Mg/m³
E: -5.41 eV per atom
Formation energy from raw total energies: -1.30 eV per atom

Cell lengths 6.2779, 6.2779, 6.2779 Å; angles 91.39, 88.61, 91.39 degrees
Site moments in Bohr magnetons follow the coordinates.
Positions (direct):
Cs (0.5567, 0.4433, 0.5567)  0.01
Ac (0.9521, 0.0479, 0.9521)  0.02
Se (0.4727, 0.8124, 0.9949)  0.23
Se (0.9949, 0.5273, 0.1876)  0.23
Se (0.1876, 0.0051, 0.4727)  0.23
O (0.1971, 0.3437, 0.1423)  0.12
O (0.6563, 0.8577, 0.1971)  0.12
O (0.0216, 0.1988, 0.5880)  0.11
O (0.8012, 0.4120, 0.0216)  0.11
O (0.5880, 0.9784, 0.8012)  0.11
O (0.1423, 0.8029, 0.6563)  0.12